VASP calculation (PBE) on crystalline LaCdNi3 at its relaxed geometry.

The structure in CIF format:
```
data_LaCdNi3
_chemical_formula_sum 'La1 Cd1 Ni3'
_space_group_name_H-M_alt 'P m -3 m'
_space_group_IT_number 221
_space_group_name_Hall '-P 4 2 3'
_cell_length_a 4.771
_cell_length_b 4.771
_cell_length_c 4.771
_cell_angle_alpha 90.00
_cell_angle_beta 90.00
_cell_angle_gamma 90.00
loop_
_atom_site_label
_atom_site_type_symbol
_atom_site_fract_x
_atom_site_fract_y
_atom_site_fract_z
La1 La 0.000 0.000 0.000
Cd1 Cd 0.500 0.500 0.500
Ni1 Ni 0.000 0.000 0.500
```

Output
Excess energy over the best structure of this formula in the dataset, eV per atom: 0.5428
Calculated formation energy, eV/atom: 1.03
D(E_F), states/eV/atom: 0.98

VASP calculation (PBE) on crystalline LaCd3Ni8 at its relaxed geometry.

The structure in CIF format:
```
data_LaCd3Ni8
_chemical_formula_sum 'La3 Cd9 Ni24'
_space_group_name_H-M_alt 'R 3 m'
_space_group_IT_number 160
_space_group_name_Hall 'R 3 -2"'
_cell_length_a 4.9774
_cell_length_b 4.9774
_cell_length_c 24.6752
_cell_angle_alpha 90.00
_cell_angle_beta 90.00
_cell_angle_gamma 120.00
loop_
_atom_site_label
_atom_site_type_symbol
_atom_site_fract_x
_atom_site_fract_y
_atom_site_fract_z
La1 La 0.0000 0.0000 0.0000
Cd1 Cd 0.0000 0.0000 0.3867
Cd2 Cd 0.0000 0.0000 0.5044
Cd3 Cd 0.0000 0.0000 0.8715
Ni1 Ni 0.0000 0.0000 0.1887
Ni2 Ni 0.0000 0.0000 0.6891
Ni3 Ni 0.0033 0.5017 0.4406
Ni4 Ni 0.1672 0.3344 0.2698
```

Output
Calculated formation energy, eV/atom: -0.10
D(E_F), states/eV/atom: 1.38

VASP calculation (PBE) on crystalline LaCd2Ni2 at its relaxed geometry.

The structure in CIF format:
```
data_LaCd2Ni2
_chemical_formula_sum 'La2 Cd4 Ni4'
_space_group_name_H-M_alt 'I 4/m m m'
_space_group_IT_number 139
_space_group_name_Hall '-I 4 2'
_cell_length_a 4.717
_cell_length_b 4.717
_cell_length_c 9.500
_cell_angle_alpha 90.00
_cell_angle_beta 90.00
_cell_angle_gamma 90.00
loop_
_atom_site_label
_atom_site_type_symbol
_atom_site_fract_x
_atom_site_fract_y
_atom_site_fract_z
La1 La 0.000 0.000 0.000
Cd1 Cd 0.000 0.000 0.356
Ni1 Ni 0.000 0.500 0.250
```

Output
Excess energy over the best structure of this formula in the dataset, eV per atom: 0.2026
Calculated formation energy, eV/atom: -0.07
D(E_F), states/eV/atom: 0.89

VASP calculation (PBE) on crystalline LaCd10Ni2 at its relaxed geometry.

The structure in CIF format:
```
data_LaCd10Ni2
_chemical_formula_sum 'La4 Cd40 Ni8'
_space_group_name_H-M_alt 'F m m m'
_space_group_IT_number 69
_space_group_name_Hall '-F 2 2'
_cell_length_a 5.540
_cell_length_b 14.100
_cell_length_c 14.127
_cell_angle_alpha 90.00
_cell_angle_beta 90.00
_cell_angle_gamma 90.00
loop_
_atom_site_label
_atom_site_type_symbol
_atom_site_fract_x
_atom_site_fract_y
_atom_site_fract_z
La1 La 0.000 0.000 0.000
Cd1 Cd 0.000 0.102 0.385
Cd2 Cd 0.000 0.159 0.182
Cd3 Cd 0.250 0.250 0.000
Ni1 Ni 0.250 0.000 0.250
```

Output
Calculated formation energy, eV/atom: -0.11
D(E_F), states/eV/atom: 0.49

VASP calculation (PBE) on crystalline LaCd2Ni2 at its relaxed geometry.

The structure in CIF format:
```
data_LaCd2Ni2
_chemical_formula_sum 'La2 Cd4 Ni4'
_space_group_name_H-M_alt 'C 1 2/m 1'
_space_group_IT_number 12
_cell_length_a 9.926
_cell_length_b 4.074
_cell_length_c 5.248
_cell_angle_alpha 90.00
_cell_angle_beta 103.42
_cell_angle_gamma 90.00
loop_
_space_group_symop_operation_xyz
'x,y,z'
'-x,-y,-z'
'-x,y,-z'
'x,-y,z'
'x+1/2,y+1/2,z'
'-x+1/2,-y+1/2,-z'
'-x+1/2,y+1/2,-z'
'x+1/2,-y+1/2,z'
loop_
_atom_site_label
_atom_site_type_symbol
_atom_site_fract_x
_atom_site_fract_y
_atom_site_fract_z
La1 La 0.000 0.000 0.000
Cd1 Cd 0.153 0.500 0.573
Ni1 Ni 0.223 0.500 0.103
```

Output
Excess energy over the best structure of this formula in the dataset, eV per atom: 0.0000
Calculated formation energy, eV/atom: -0.28
D(E_F), states/eV/atom: 0.61

VASP calculation (PBE) on crystalline LaCdNi3 at its relaxed geometry.

The structure in CIF format:
```
data_LaCdNi3
_chemical_formula_sum 'La1 Cd1 Ni3'
_space_group_name_H-M_alt 'P m -3 m'
_space_group_IT_number 221
_space_group_name_Hall '-P 4 2 3'
_cell_length_a 4.722
_cell_length_b 4.722
_cell_length_c 4.722
_cell_angle_alpha 90.00
_cell_angle_beta 90.00
_cell_angle_gamma 90.00
loop_
_atom_site_label
_atom_site_type_symbol
_atom_site_fract_x
_atom_site_fract_y
_atom_site_fract_z
La1 La 0.000 0.000 0.000
Cd1 Cd 0.500 0.500 0.500
Ni1 Ni 0.000 0.500 0.500
```

Output
Excess energy over the best structure of this formula in the dataset, eV per atom: 0.0000
Calculated formation energy, eV/atom: 0.49
D(E_F), states/eV/atom: 1.06

VASP calculation (PBE) on crystalline La12CdNi5 at its relaxed geometry.

The structure in CIF format:
```
data_La12CdNi5
_chemical_formula_sum 'La24 Cd2 Ni10'
_space_group_name_H-M_alt 'I m m m'
_space_group_IT_number 71
_space_group_name_Hall '-I 2 2'
_cell_length_a 9.774
_cell_length_b 10.171
_cell_length_c 10.475
_cell_angle_alpha 90.00
_cell_angle_beta 90.00
_cell_angle_gamma 90.00
loop_
_atom_site_label
_atom_site_type_symbol
_atom_site_fract_x
_atom_site_fract_y
_atom_site_fract_z
La1 La 0.000 0.188 0.202
La2 La 0.191 0.500 0.174
La3 La 0.197 0.324 0.500
Cd1 Cd 0.000 0.000 0.500
Ni1 Ni 0.000 0.000 0.000
Ni2 Ni 0.000 0.366 0.000
Ni3 Ni 0.000 0.500 0.373
```

Output
Calculated formation energy, eV/atom: -0.25
D(E_F), states/eV/atom: 0.91

VASP calculation (PBE) on crystalline LaCdNi at its relaxed geometry.

The structure in CIF format:
```
data_LaCdNi
_chemical_formula_sum 'La1 Cd1 Ni1'
_space_group_name_H-M_alt 'P 3 m 1'
_space_group_IT_number 156
_cell_length_a 4.5747
_cell_length_b 4.5747
_cell_length_c 3.9320
_cell_angle_alpha 90.00
_cell_angle_beta 90.00
_cell_angle_gamma 120.00
loop_
_space_group_symop_operation_xyz
'x,y,z'
'-y,x-y,z'
'-x+y,-x,z'
'-y,-x,z'
'-x+y,y,z'
'x,x-y,z'
loop_
_atom_site_label
_atom_site_type_symbol
_atom_site_fract_x
_atom_site_fract_y
_atom_site_fract_z
La1 La 0.0000 0.0000 0.0000
Cd1 Cd 0.3333 0.6667 0.4998
Ni1 Ni 0.6667 0.3333 0.4970
```

Output
Calculated formation energy, eV/atom: -0.22
D(E_F), states/eV/atom: 1.27

VASP calculation (PBE) on crystalline La2CdNi at its relaxed geometry.

The structure in CIF format:
```
data_La2CdNi
_chemical_formula_sum 'La2 Cd1 Ni1'
_space_group_name_H-M_alt 'P 1 2/m 1'
_space_group_IT_number 10
_cell_length_a 3.669
_cell_length_b 3.636
_cell_length_c 7.869
_cell_angle_alpha 90.00
_cell_angle_beta 90.21
_cell_angle_gamma 90.00
loop_
_space_group_symop_operation_xyz
'x,y,z'
'-x,-y,-z'
'-x,y,-z'
'x,-y,z'
loop_
_atom_site_label
_atom_site_type_symbol
_atom_site_fract_x
_atom_site_fract_y
_atom_site_fract_z
La1 La 0.001 0.000 0.289
Cd1 Cd 0.500 0.500 0.000
Ni1 Ni 0.500 0.500 0.500
```

Output
Calculated formation energy, eV/atom: -0.29
D(E_F), states/eV/atom: 0.81

VASP calculation (PBE) on crystalline La2CdNi at its relaxed geometry.

The structure in CIF format:
```
data_La2CdNi
_chemical_formula_sum 'La4 Cd2 Ni2'
_space_group_name_H-M_alt 'I m m 2'
_space_group_IT_number 44
_cell_length_a 3.610
_cell_length_b 5.020
_cell_length_c 11.344
_cell_angle_alpha 90.00
_cell_angle_beta 90.00
_cell_angle_gamma 90.00
loop_
_space_group_symop_operation_xyz
'x,y,z'
'-x,-y,z'
'-x,y,z'
'x,-y,z'
'x+1/2,y+1/2,z+1/2'
'-x+1/2,-y+1/2,z+1/2'
'-x+1/2,y+1/2,z+1/2'
'x+1/2,-y+1/2,z+1/2'
loop_
_atom_site_label
_atom_site_type_symbol
_atom_site_fract_x
_atom_site_fract_y
_atom_site_fract_z
La1 La 0.000 0.000 0.000
La2 La 0.000 0.500 0.186
Cd1 Cd 0.000 0.000 0.391
Ni1 Ni 0.000 0.500 0.706
```

Output
Calculated formation energy, eV/atom: -0.19
D(E_F), states/eV/atom: 1.18